[1]
The following is a DFT calculation (PBE) of Tm4HfPd5 after structural relaxation.

Computed properties:
ρ ... 11.31 Mg/m³
Calculated total energy ... -6.249 eV/atom
Formation energy from the elements ... -8.69 eV/f.u.
V ... 203.56 Å³ per cell

Unit cell a=3.429 b=3.429 c=17.309 alpha=90.00 beta=90.00 gamma=90.00
Space group P4/mmm (No. 123)
One atom of each set of equivalent atoms:
Tm1 0.000 0.000 0.102 (multiplicity 2)
Tm2 0.000 0.000 0.304 (multiplicity 2)
Hf1 0.000 0.000 0.500 (multiplicity 1)
Pd1 0.500 0.500 0.000 (multiplicity 1)
Pd2 0.500 0.500 0.203 (multiplicity 2)
Pd3 0.500 0.500 0.413 (multiplicity 2)

[2]
The following is a DFT calculation (PBE) of Tm2HfPd8 after structural relaxation.

Computed properties:
ρ ... 11.87 Mg/m³
Calculated total energy ... -6.272 eV/atom
Formation energy from the elements ... -8.55 eV/f.u.
V ... 382.74 Å³ per cell

Unit cell a=14.592 b=4.151 c=6.669 alpha=90.00 beta=108.67 gamma=90.00
Space group C2/m (No. 12)
One atom of each set of equivalent atoms:
Tm1 0.218 0.000 0.166 (multiplicity 4)
Hf1 0.000 0.500 0.500 (multiplicity 2)
Pd1 0.036 0.000 0.225 (multiplicity 4)
Pd2 0.093 0.500 0.939 (multiplicity 4)
Pd3 0.139 0.000 0.675 (multiplicity 4)
Pd4 0.174 0.500 0.408 (multiplicity 4)

[3]
The following is a DFT calculation (PBE) of TmHfPd after structural relaxation.

Computed properties:
ρ ... 10.19 Mg/m³
Calculated total energy ... -6.815 eV/atom
Energy above the lowest structure with this stoichiometry ... 0.54 eV/f.u.
Formation energy from the elements ... -0.83 eV/f.u.
V ... 443.59 Å³ per cell

Unit cell a=4.5849 b=4.5849 c=24.3661 alpha=90.00 beta=90.00 gamma=120.00
Space group R-3m (No. 166, hexagonal axes)
One atom of each set of equivalent atoms:
Tm1 0.0000 0.0000 0.1217 (multiplicity 6)
Hf1 0.0000 0.0000 0.3715 (multiplicity 6)
Pd1 0.0000 0.0000 0.2607 (multiplicity 6)

[4]
The following is a DFT calculation (PBE) of TmHfPd4 after structural relaxation.

Computed properties:
ρ ... 12.12 Mg/m³
Calculated total energy ... -6.704 eV/atom
Formation energy from the elements ... -5.03 eV/f.u.
V ... 423.54 Å³ per cell

Unit cell a=4.117 b=12.829 c=8.018 alpha=90.00 beta=90.00 gamma=90.00
Space group Cmcm (No. 63)
One atom of each set of equivalent atoms:
Tm1 0.000 0.015 0.250 (multiplicity 4)
Hf1 0.000 0.308 0.250 (multiplicity 4)
Pd1 0.000 0.166 0.518 (multiplicity 8)
Pd2 0.000 0.334 0.750 (multiplicity 4)
Pd3 0.000 0.500 0.000 (multiplicity 4)

[5]
The following is a DFT calculation (PBE) of TmHf2Pd6 after structural relaxation.

Computed properties:
ρ ... 11.48 Mg/m³
Calculated total energy ... -6.720 eV/atom
Formation energy from the elements ... -4.94 eV/f.u.
V ... 336.72 Å³ per cell

Unit cell a=3.161 b=7.601 c=14.015 alpha=90.00 beta=90.00 gamma=90.00
Space group Immm (No. 71)
One atom of each set of equivalent atoms:
Tm1 0.000 0.000 0.000 (multiplicity 2)
Hf1 0.000 0.000 0.333 (multiplicity 4)
Pd1 0.000 0.190 0.500 (multiplicity 4)
Pd2 0.000 0.204 0.168 (multiplicity 8)

[6]
The following is a DFT calculation (PBE) of TmHfPd2 after structural relaxation.

Computed properties:
ρ ... 11.76 Mg/m³
Calculated total energy ... -6.976 eV/atom
Energy above the lowest structure with this stoichiometry ... 0.00 eV/f.u.
Formation energy from the elements ... -3.09 eV/f.u.
V ... 79.13 Å³ per cell

Unit cell a=3.389 b=3.389 c=6.889 alpha=90.00 beta=90.00 gamma=90.00
Space group P4/mmm (No. 123)
One atom of each set of equivalent atoms:
Tm1 0.000 0.000 0.000 (multiplicity 1)
Hf1 0.000 0.000 0.500 (multiplicity 1)
Pd1 0.500 0.500 0.279 (multiplicity 2)

[7]
The following is a DFT calculation (PBE) of TmHfPd2 after structural relaxation.

Computed properties:
ρ ... 10.72 Mg/m³
Calculated total energy ... -6.787 eV/atom
Energy above the lowest structure with this stoichiometry ... 0.75 eV/f.u.
Formation energy from the elements ... -2.34 eV/f.u.
V ... 260.33 Å³ per cell

Unit cell a=3.9219 b=3.9219 c=19.5436 alpha=90.00 beta=90.00 gamma=120.00
Space group R-3m (No. 166, hexagonal axes)
One atom of each set of equivalent atoms:
Tm1 0.0000 0.0000 0.0000 (multiplicity 3)
Hf1 0.0000 0.0000 0.5000 (multiplicity 3)
Pd1 0.0000 0.0000 0.2421 (multiplicity 6)

[8]
The following is a DFT calculation (PBE) of Tm2HfPd after structural relaxation.

Computed properties:
ρ ... 11.15 Mg/m³
Calculated total energy ... -6.407 eV/atom
Formation energy from the elements ... -1.54 eV/f.u.
V ... 92.71 Å³ per cell

Unit cell a=3.445 b=3.445 c=7.811 alpha=90.00 beta=90.00 gamma=90.00
Space group P4/mmm (No. 123)
One atom of each set of equivalent atoms:
Tm1 0.000 0.000 0.219 (multiplicity 2)
Hf1 0.500 0.500 0.500 (multiplicity 1)
Pd1 0.500 0.500 0.000 (multiplicity 1)

[9]
The following is a DFT calculation (PBE) of Tm3HfPd4 after structural relaxation.

Computed properties:
ρ ... 11.36 Mg/m³
Calculated total energy ... -6.369 eV/atom
Formation energy from the elements ... -6.81 eV/f.u.
V ... 162.33 Å³ per cell

Unit cell a=3.427 b=3.427 c=13.822 alpha=90.00 beta=90.00 gamma=90.00
Space group P4/mmm (No. 123)
One atom of each set of equivalent atoms:
Tm1 0.000 0.000 0.000 (multiplicity 1)
Tm2 0.000 0.000 0.254 (multiplicity 2)
Hf1 0.000 0.000 0.500 (multiplicity 1)
Pd1 0.500 0.500 0.128 (multiplicity 2)
Pd2 0.500 0.500 0.392 (multiplicity 2)

[10]
The following is a DFT calculation (PBE) of TmHf2Pd7 after structural relaxation.

Computed properties:
ρ ... 11.25 Mg/m³
Calculated total energy ... -6.697 eV/atom
Formation energy from the elements ... -6.24 eV/f.u.
V ... 375.32 Å³ per cell

Unit cell a=4.025 b=4.025 c=23.164 alpha=90.00 beta=90.00 gamma=90.00
Space group I4/mmm (No. 139)
One atom of each set of equivalent atoms:
Tm1 0.000 0.000 0.000 (multiplicity 2)
Hf1 0.000 0.000 0.330 (multiplicity 4)
Pd1 0.000 0.000 0.500 (multiplicity 2)
Pd2 0.000 0.500 0.093 (multiplicity 8)
Pd3 0.000 0.500 0.250 (multiplicity 4)

[11]
The following is a DFT calculation (PBE) of TmHfPd2 after structural relaxation.

Computed properties:
ρ ... 11.96 Mg/m³
Calculated total energy ... -6.939 eV/atom
Energy above the lowest structure with this stoichiometry ... 0.15 eV/f.u.
Formation energy from the elements ... -2.94 eV/f.u.
V ... 311.19 Å³ per cell

Unit cell a=6.777 b=6.777 c=6.777 alpha=90.00 beta=90.00 gamma=90.00
Space group Fm-3m (No. 225)
One atom of each set of equivalent atoms:
Tm1 0.000 0.000 0.000 (multiplicity 4)
Hf1 0.000 0.000 0.500 (multiplicity 4)
Pd1 0.250 0.250 0.250 (multiplicity 8)

[12]
The following is a DFT calculation (PBE) of TmHfZnPd after structural relaxation.

Computed properties:
ρ ... 10.92 Mg/m³
Calculated total energy ... -5.659 eV/atom
Formation energy from the elements ... -1.75 eV/f.u.
V ... 315.80 Å³ per cell

Unit cell a=6.810 b=6.810 c=6.810 alpha=90.00 beta=90.00 gamma=90.00
Space group F-43m (No. 216)
One atom of each set of equivalent atoms:
Tm1 0.000 0.000 0.000 (multiplicity 4)
Hf1 0.000 0.000 0.500 (multiplicity 4)
Zn1 0.250 0.250 0.250 (multiplicity 4)
Pd1 0.250 0.250 0.750 (multiplicity 4)

> Which of these has the highest V?

TmHfPd

> What is the formula in the second record?

Tm2HfPd8

> Look up the ρ of the sixth one.

11.76 Mg/m³